(1)
Density functional theory data (PBE) for crystalline Pr2Te3 at its relaxed geometry.

As for the total magnetization: 0.00 μB per formula unit. The value obtained for the density of states at the Fermi level is 0.217 states/eV per atom. The formation energy (no corrections) is -1.408 eV/atom.

abc: 6.288 9.157 8.204
angles: 123.92 112.53 90.00
Positions (direct):
Pr: 0.117 0.393 0.234
Pr: 0.383 0.158 0.766
Te: 0.250 0.000 0.000
Te: 0.357 0.489 0.714
Pr: 0.617 0.842 0.234
Pr: 0.883 0.607 0.766
Te: 0.857 0.225 0.714
Te: 0.750 0.000 0.000
Te: 0.143 0.775 0.286
Te: 0.643 0.511 0.286



(2)
Density functional theory data (PBE) for crystalline TcW2N at its relaxed geometry.

As for the total magnetization: 0.00 μB per formula unit. The value obtained for the density of states at the Fermi level is 0.694 states/eV per atom. The formation energy (no corrections) is 0.005 eV/atom.

abc: 2.887 2.887 7.391
angles: 78.74 78.74 60.00
Positions (direct):
Tc: 0.501 0.501 0.498
W: 0.064 0.064 0.807
W: 0.269 0.269 0.194
N: 0.666 0.666 0.001



(3)
Density functional theory data (PBE) for crystalline Tb3TmPd6 at its relaxed geometry.

As for the total magnetization: 0.00 μB per formula unit. The value obtained for the density of states at the Fermi level is 0.485 states/eV per atom. The value obtained for the calculated total energy is -0.2130 hartree per atom.

abc: 4.927 8.292 10.383
angles: 107.46 90.00 90.00
Positions (direct):
Pd: 0.250 0.145 0.199
Tb: 0.750 0.205 0.010
Pd: 0.750 0.928 0.114
Pd: 0.750 0.558 0.908
Pd: 0.750 0.148 0.694
Pd: 0.750 0.351 0.304
Pd: 0.750 0.762 0.490
Tm: 0.750 0.063 0.394
Tb: 0.750 0.640 0.195
Tm: 0.250 0.937 0.606
Tb: 0.250 0.795 0.990
Pd: 0.250 0.852 0.306
Tb: 0.750 0.481 0.614
Pd: 0.250 0.238 0.510
Pd: 0.250 0.649 0.696
Tb: 0.250 0.360 0.805
Pd: 0.250 0.072 0.886
Pd: 0.250 0.442 0.092
Pd: 0.750 0.855 0.801
Tb: 0.250 0.519 0.386



(4)
Density functional theory data (PBE) for crystalline BaAlH5 at its relaxed geometry.

As for the total magnetization: 0.00 μB per formula unit. The value obtained for the density of states at the Fermi level is 0.000 states/eV per atom. The value obtained for the calculated total energy is -0.1290 hartree per atom.

abc: 5.020 5.020 7.478
angles: 98.34 105.19 113.19
Positions (direct):
H: 0.147 0.382 0.078
H: 0.250 0.000 0.250
Ba: 0.250 0.500 0.750
Ba: 0.750 0.500 0.250
H: 0.697 0.933 0.079
H: 0.303 0.067 0.921
H: 0.853 0.618 0.922
H: 0.804 0.069 0.422
Al: 0.000 0.000 0.000
H: 0.354 0.618 0.421
H: 0.750 0.000 0.750
Al: 0.500 0.000 0.500
H: 0.646 0.382 0.579
H: 0.196 0.931 0.578